The following is a PBE-GGA calculation of CsTb2NpS5 after structural relaxation, from Alexandria.

## Properties
Crystal system: orthorhombic
SG: Immm, No. 71
Total moment (μB/f.u.): 3.984
Uncorrected energy (eV/atom): -6.495

Unit cell a=8.125 b=8.125 c=8.125 alpha=143.83 beta=127.25 gamma=65.63
Atoms (fractional coordinates):
Cs1 0.000 0.000 0.000
Tb1 0.293 0.793 0.500
Tb2 0.707 0.207 0.500
Np1 0.500 0.500 0.000
S1 0.111 0.342 0.769
S2 0.428 0.658 0.769
S3 0.500 0.000 0.500
S4 0.572 0.342 0.231
S5 0.889 0.658 0.231